# 1
Computed, not measured: a relaxed Sm5Ho6Sc crystal at the PBE-GGA level of DFT.

POSCAR file:
```
Sm5Ho6Sc
1.0
5.596 -7.535 0.000
5.596 7.535 0.000
-2.242 0.000 4.488
Sm Ho Sc
5 6 1
direct
0.000 0.000 0.000 Sm
0.166 0.834 0.500 Sm
0.336 0.664 0.000 Sm
0.664 0.336 0.000 Sm
0.834 0.166 0.500 Sm
0.087 0.418 0.253 Ho
0.255 0.255 0.755 Ho
0.418 0.087 0.253 Ho
0.582 0.913 0.747 Ho
0.745 0.745 0.245 Ho
0.913 0.582 0.747 Ho
0.500 0.500 0.500 Sc
```

E ... -57.04 eV for the cell shown

---

# 2
Computed, not measured: a relaxed MgCoBr crystal at the PBE-GGA level of DFT.

POSCAR file:
```
MgCoBr
1.0
0.000 3.030 3.030
3.030 0.000 3.030
3.030 3.030 0.000
Mg Co Br
1 1 1
direct
0.000 0.000 0.000 Mg
0.250 0.250 0.250 Co
0.500 0.500 0.500 Br
```

Polymorph energy (0 for the lowest one) ... 264 kJ/mol of formula units

---

# 3
Computed, not measured: a relaxed SrPrNiPt crystal at the PBE-GGA level of DFT.

POSCAR file:
```
SrPrNiPt
1.0
0.000 3.612 3.612
3.612 0.000 3.612
3.612 3.612 0.000
Sr Pr Ni Pt
1 1 1 1
direct
0.000 0.000 0.000 Sr
0.500 0.500 0.500 Pr
0.750 0.750 0.750 Ni
0.250 0.250 0.250 Pt
```

E ... -20.10 eV for the cell shown

---

# 4
Computed, not measured: a relaxed Ce6HgOs crystal at the PBE-GGA level of DFT.

POSCAR file:
```
Ce6HgOs
1.0
3.912 -4.781 0.000
3.912 4.781 0.000
-1.893 0.000 5.997
Ce Hg Os
6 1 1
direct
0.085 0.672 0.692 Ce
0.316 0.316 0.902 Ce
0.328 0.915 0.308 Ce
0.672 0.085 0.692 Ce
0.684 0.684 0.098 Ce
0.915 0.328 0.308 Ce
0.500 0.500 0.500 Hg
0.000 0.000 0.000 Os
```

E ... -47.23 eV for the cell shown

---

# 5
Computed, not measured: a relaxed RbGaGe crystal at the PBE-GGA level of DFT.

POSCAR file:
```
RbGaGe
1.0
3.634 -6.204 0.000
3.634 6.204 0.000
0.000 0.000 4.381
Rb Ga Ge
2 2 2
direct
0.250 0.250 0.000 Rb
0.750 0.750 0.000 Rb
0.000 0.500 0.500 Ga
0.500 0.000 0.500 Ga
0.250 0.750 0.886 Ge
0.750 0.250 0.114 Ge
```

E ... -16.72 eV for the cell shown

---

# 6
Computed, not measured: a relaxed AlV3Tc crystal at the PBE-GGA level of DFT.

POSCAR file:
```
AlV3Tc
1.0
4.517 0.000 0.000
0.000 4.517 0.000
0.000 0.000 4.517
Al V Tc
1 3 1
direct
0.000 0.000 0.000 Al
0.000 0.500 0.500 V
0.500 0.000 0.500 V
0.500 0.500 0.000 V
0.500 0.500 0.500 Tc
```

Polymorph energy (0 for the lowest one) ... 485 kJ/mol of formula units

---

# 7
Computed, not measured: a relaxed MgTaN2O crystal at the PBE-GGA level of DFT.

POSCAR file:
```
MgTaN2O
1.0
3.824 0.000 0.000
0.000 3.824 0.000
0.000 0.000 3.585
Mg Ta N O
1 1 2 1
direct
0.000 0.000 0.000 Mg
0.500 0.500 0.500 Ta
0.000 0.500 0.000 N
0.500 0.000 0.000 N
0.000 0.000 0.500 O
```

E ... -33.00 eV for the cell shown

---

# 8
Computed, not measured: a relaxed MnRuI3 crystal at the PBE-GGA level of DFT.

POSCAR file:
```
MnRuI3
1.0
5.401 0.000 0.000
0.000 5.401 0.000
0.000 0.000 5.401
Mn Ru I
1 1 3
direct
0.000 0.000 0.000 Mn
0.500 0.500 0.500 Ru
0.000 0.500 0.500 I
0.500 0.000 0.500 I
0.500 0.500 0.000 I
```

Polymorph energy (0 for the lowest one) ... 0 kJ/mol of formula units

---

# 9
Computed, not measured: a relaxed K2CaFe crystal at the PBE-GGA level of DFT.

POSCAR file:
```
K2CaFe
1.0
-1.902 3.292 6.848
1.902 -3.292 6.848
1.902 3.292 -6.848
K Ca Fe
2 1 1
direct
0.000 0.000 0.000 K
0.690 0.190 0.500 K
0.316 0.816 0.500 Ca
0.479 0.479 0.000 Fe
```

Polymorph energy (0 for the lowest one) ... 54 kJ/mol of formula units

---

# 10
Computed, not measured: a relaxed RbB2Se4 crystal at the PBE-GGA level of DFT.

POSCAR file:
```
RbB2Se4
1.0
7.051 0.000 0.000
-0.022 7.330 0.000
-0.449 -2.373 10.548
Rb B Se
2 4 8
direct
0.235 0.443 0.245 Rb
0.765 0.557 0.755 Rb
0.000 0.000 0.000 B
0.000 0.000 0.500 B
0.500 0.000 0.500 B
0.500 0.500 0.000 B
0.000 0.243 0.491 Se
0.000 0.757 0.509 Se
0.007 0.216 0.945 Se
0.498 0.751 0.058 Se
0.498 0.758 0.513 Se
0.502 0.242 0.487 Se
0.502 0.249 0.942 Se
0.993 0.784 0.055 Se
```

E ... -58.79 eV for the cell shown

---

# 11
Computed, not measured: a relaxed Zr2CdSb crystal at the PBE-GGA level of DFT.

POSCAR file:
```
Zr2CdSb
1.0
3.176 0.000 0.000
0.000 5.180 0.000
-0.756 0.000 5.438
Zr Cd Sb
2 1 1
direct
0.000 0.000 0.000 Zr
0.142 0.500 0.608 Zr
0.577 0.500 0.105 Cd
0.590 0.000 0.488 Sb
```

Polymorph energy (0 for the lowest one) ... 37 kJ/mol of formula units

---

# 12
Computed, not measured: a relaxed Pm6AlS4 crystal at the PBE-GGA level of DFT.

POSCAR file:
```
Pm6AlS4
1.0
2.008 -6.772 0.000
2.008 6.772 0.000
0.000 0.000 20.630
Pm Al S
12 2 8
direct
0.000 0.000 0.000 Pm
0.000 0.000 0.500 Pm
0.163 0.837 0.750 Pm
0.272 0.728 0.083 Pm
0.272 0.728 0.417 Pm
0.456 0.544 0.660 Pm
0.456 0.544 0.840 Pm
0.544 0.456 0.160 Pm
0.544 0.456 0.340 Pm
0.728 0.272 0.583 Pm
0.728 0.272 0.917 Pm
0.837 0.163 0.250 Pm
0.164 0.836 0.250 Al
0.836 0.164 0.750 Al
0.092 0.908 0.623 S
0.092 0.908 0.877 S
0.363 0.637 0.540 S
0.363 0.637 0.960 S
0.637 0.363 0.040 S
0.637 0.363 0.460 S
0.908 0.092 0.123 S
0.908 0.092 0.377 S
```

E ... -131.64 eV for the cell shown

---

# 13
Computed, not measured: a relaxed K2NaH5C2O8 crystal at the PBE-GGA level of DFT.

POSCAR file:
```
K2NaH5C2O8
1.0
9.524 0.000 0.000
0.000 7.978 0.000
0.000 0.000 11.626
K Na H C O
8 4 20 8 32
direct
0.208 0.012 0.116 K
0.208 0.488 0.116 K
0.292 0.512 0.616 K
0.292 0.988 0.616 K
0.708 0.012 0.384 K
0.708 0.488 0.384 K
0.792 0.512 0.884 K
0.792 0.988 0.884 K
0.049 0.750 0.332 Na
0.451 0.250 0.832 Na
0.549 0.750 0.168 Na
0.951 0.250 0.668 Na
0.002 0.750 0.030 H
0.023 0.620 0.701 H
0.023 0.880 0.701 H
0.115 0.113 0.374 H
0.115 0.387 0.374 H
0.385 0.613 0.874 H
0.385 0.887 0.874 H
0.477 0.120 0.201 H
0.477 0.380 0.201 H
0.498 0.250 0.530 H
0.502 0.750 0.470 H
0.523 0.620 0.799 H
0.523 0.880 0.799 H
0.615 0.113 0.126 H
0.615 0.387 0.126 H
0.885 0.613 0.626 H
0.885 0.887 0.626 H
0.977 0.120 0.299 H
0.977 0.380 0.299 H
0.998 0.250 0.970 H
0.143 0.750 0.868 C
0.156 0.250 0.855 C
0.344 0.750 0.355 C
0.357 0.250 0.368 C
0.643 0.750 0.632 C
0.656 0.250 0.645 C
0.844 0.750 0.145 C
0.857 0.250 0.132 C
0.015 0.250 0.877 O
0.017 0.750 0.911 O
0.043 0.041 0.337 O
0.043 0.459 0.337 O
0.157 0.750 0.756 O
0.191 0.250 0.749 O
0.240 0.250 0.940 O
0.248 0.250 0.435 O
0.252 0.750 0.935 O
0.260 0.750 0.440 O
0.309 0.750 0.249 O
0.343 0.250 0.256 O
0.457 0.541 0.837 O
0.457 0.959 0.837 O
0.483 0.250 0.411 O
0.485 0.750 0.377 O
0.515 0.250 0.623 O
0.517 0.750 0.589 O
0.543 0.041 0.163 O
0.543 0.459 0.163 O
0.657 0.750 0.744 O
0.691 0.250 0.751 O
0.740 0.250 0.560 O
0.748 0.250 0.065 O
0.752 0.750 0.565 O
0.760 0.750 0.060 O
0.809 0.750 0.251 O
0.843 0.250 0.244 O
0.957 0.541 0.663 O
0.957 0.959 0.663 O
0.983 0.250 0.089 O
0.985 0.750 0.123 O
```

E ... -418.58 eV for the cell shown

---

# 14
Computed, not measured: a relaxed LiThAs2 crystal at the PBE-GGA level of DFT.

POSCAR file:
```
LiThAs2
1.0
4.079 0.000 0.000
0.000 4.079 0.000
0.000 0.000 10.288
Li Th As
2 2 4
direct
0.250 0.750 0.000 Li
0.750 0.250 0.000 Li
0.250 0.250 0.281 Th
0.750 0.750 0.719 Th
0.250 0.250 0.835 As
0.250 0.750 0.500 As
0.750 0.250 0.500 As
0.750 0.750 0.165 As
```

Polymorph energy (0 for the lowest one) ... 0 kJ/mol of formula units

---

# 15
Computed, not measured: a relaxed ReSiNF2 crystal at the PBE-GGA level of DFT.

POSCAR file:
```
ReSiNF2
1.0
3.314 0.000 0.000
0.000 3.314 0.000
0.000 0.000 5.401
Re Si N F
1 1 1 2
direct
0.000 0.000 0.000 Re
0.000 0.000 0.500 Si
0.500 0.500 0.000 N
0.000 0.500 0.500 F
0.500 0.000 0.500 F
```

Polymorph energy (0 for the lowest one) ... 0 kJ/mol of formula units

---

# 16
Computed, not measured: a relaxed La5Tb2Nd6 crystal at the PBE-GGA level of DFT.

POSCAR file:
```
La5Tb2Nd6
1.0
11.932 0.000 0.000
0.000 21.189 0.000
0.000 0.000 3.690
La Tb Nd
10 4 12
direct
0.000 0.000 0.000 La
0.083 0.272 0.000 La
0.198 0.551 0.000 La
0.302 0.051 0.000 La
0.417 0.772 0.000 La
0.500 0.500 0.000 La
0.583 0.228 0.000 La
0.698 0.949 0.000 La
0.802 0.449 0.000 La
0.917 0.728 0.000 La
0.171 0.710 0.500 Tb
0.329 0.210 0.500 Tb
0.671 0.790 0.500 Tb
0.829 0.290 0.500 Tb
0.061 0.418 0.500 Nd
0.083 0.131 0.500 Nd
0.175 0.860 0.000 Nd
0.325 0.360 0.000 Nd
0.417 0.631 0.500 Nd
0.439 0.918 0.500 Nd
0.561 0.082 0.500 Nd
0.583 0.369 0.500 Nd
0.675 0.640 0.000 Nd
0.825 0.140 0.000 Nd
0.917 0.869 0.500 Nd
0.939 0.582 0.500 Nd
```

E ... -122.90 eV for the cell shown

---

# 17
Computed, not measured: a relaxed LaAl2Pb crystal at the PBE-GGA level of DFT.

POSCAR file:
```
LaAl2Pb
1.0
-2.158 2.247 5.344
2.158 -2.247 5.344
2.158 2.247 -5.344
La Al Pb
1 2 1
direct
0.000 0.000 0.000 La
0.579 0.579 0.000 Al
0.748 0.248 0.500 Al
0.270 0.770 0.500 Pb
```

E ... -17.12 eV for the cell shown

---

# 18
Computed, not measured: a relaxed YPRh4 crystal at the PBE-GGA level of DFT.

POSCAR file:
```
YPRh4
1.0
0.000 3.693 3.693
3.693 0.000 3.693
3.693 3.693 0.000
Y P Rh
1 1 4
direct
0.000 0.000 0.000 Y
0.750 0.750 0.750 P
0.376 0.376 0.376 Rh
0.376 0.376 0.872 Rh
0.376 0.872 0.376 Rh
0.872 0.376 0.376 Rh
```

E ... -42.35 eV for the cell shown

---

# 19
Computed, not measured: a relaxed Cr5Cu crystal at the PBE-GGA level of DFT.

POSCAR file:
```
Cr5Cu
1.0
4.765 0.000 0.000
-2.383 4.127 0.000
0.000 0.000 3.941
Cr Cu
5 1
direct
0.000 0.500 0.000 Cr
0.333 0.667 0.500 Cr
0.500 0.000 0.000 Cr
0.500 0.500 0.000 Cr
0.667 0.333 0.500 Cr
0.000 0.000 0.500 Cu
```

Polymorph energy (0 for the lowest one) ... 212 kJ/mol of formula units

---

# 20
Computed, not measured: a relaxed Ac5Pm12Nd crystal at the PBE-GGA level of DFT.

POSCAR file:
```
Ac5Pm12Nd
1.0
6.133 -8.880 0.000
6.133 8.880 0.000
-0.054 0.000 6.190
Ac Pm Nd
5 12 1
direct
0.000 0.000 0.000 Ac
0.165 0.835 0.500 Ac
0.334 0.666 0.000 Ac
0.666 0.334 0.000 Ac
0.835 0.165 0.500 Ac
0.018 0.351 0.946 Pm
0.153 0.485 0.447 Pm
0.189 0.189 0.565 Pm
0.320 0.320 0.067 Pm
0.351 0.018 0.946 Pm
0.485 0.153 0.447 Pm
0.515 0.847 0.553 Pm
0.649 0.982 0.054 Pm
0.680 0.680 0.933 Pm
0.811 0.811 0.435 Pm
0.847 0.515 0.553 Pm
0.982 0.649 0.054 Pm
0.500 0.500 0.500 Nd
```

E ... -80.86 eV for the cell shown

---

# 21
Computed, not measured: a relaxed TlZn2Cu crystal at the PBE-GGA level of DFT.

POSCAR file:
```
TlZn2Cu
1.0
0.000 3.310 3.310
3.310 0.000 3.310
3.310 3.310 0.000
Tl Zn Cu
1 2 1
direct
0.000 0.000 0.000 Tl
0.250 0.250 0.250 Zn
0.750 0.750 0.750 Zn
0.500 0.500 0.500 Cu
```

Polymorph energy (0 for the lowest one) ... 69 kJ/mol of formula units

---

no.,volume (A^3/atom),size of the total moment (μB per cell)
1,31.544,0.0
2,18.545,0.5
3,23.563,0.0
4,28.039,2.2
5,32.922,0.0
6,18.435,0.0
7,10.483,1.0
8,31.515,4.9
9,42.879,2.7
10,38.940,0.0
11,22.367,0.0
12,25.503,1.3
13,12.269,0.0
14,21.400,0.0
15,11.865,0.8
16,35.882,0.0
17,25.904,0.0
18,16.783,0.0
19,12.918,0.0
20,37.458,0.0
21,18.131,0.0